A geometry-optimized AgPd2Ru structure. Source: the Alexandria database, functional PBE.

Values from the calculation:
crystal system	cubic
energy	-0.388	Ry per atom
N(E_F)	2.77	states/eV/cell
ΔH_f (0 K)	1.4	eV per formula unit

a = 4.494 Å, b = 4.494 Å, c = 4.494 Å
α = 60.00°, β = 60.00°, γ = 60.00°
Last column: magnetic moment on the atom in μB.
Fractional positions:
Pd1 0.750 0.750 0.750  0.38
Pd2 0.250 0.250 0.250  0.38
Ru1 0.000 0.000 0.000  2.10
Ag1 0.500 0.500 0.500  0.05

A geometry-optimized HfScCuRu structure. Source: the Alexandria database, functional PBE.

Values from the calculation:
crystal system	cubic
energy	-0.578	Ry per atom
N(E_F)	3.65	states/eV/cell
ΔH_f (0 K)	-1.8	eV per formula unit

a = 4.584 Å, b = 4.584 Å, c = 4.584 Å
α = 60.00°, β = 60.00°, γ = 60.00°
Fractional positions:
Hf1 0.500 0.500 0.500
Ru1 0.750 0.750 0.750
Cu1 0.250 0.250 0.250
Sc1 0.000 0.000 0.000